The following is a DFT calculation (PBE) of a geometry-optimized Tm2CoOs3 structure.

a b c (Å): 5.2614 5.2614 5.2614
angles (deg): 59.71 59.71 59.71
Fractional coordinates of all 6 atoms:
Tm 0.1242 0.1242 0.1242
Tm 0.8758 0.8758 0.8758
Co 0.5000 0.5000 0.5000
Os 0.0000 0.5000 0.5000
Os 0.5000 0.0000 0.5000
Os 0.5000 0.5000 0.0000

The value obtained for the total energy is -8.635 eV/atom. For the total magnetic moment, the calculation gives 0.59 μB/cell. The calculation puts the formation energy at -345 meV per atom. The calculated volume comes out at 102.3 Å³ per cell.